Crystalline ScNiN2O at its relaxed geometry. Source: Alexandria, functional GGA+U.

a b c (Å): 3.678 3.678 3.741
angles (deg): 90.00 90.00 90.00
Positions (direct):
Sc (0.500, 0.500, 0.500)
Ni (0.000, 0.000, 0.000)
O (0.000, 0.000, 0.500)
N (0.000, 0.500, 0.000)
N (0.500, 0.000, 0.000)

## Properties
**Calculated total energy**: -6.09 eV per atom
**Density**: 4.85 g/cm3
**Total magnetic moment**: 0.05 μB/cell
**Space group**: P4/mmm, No. 123